1.
Density functional theory data (PBE) for SrAl2Tl2 after structural relaxation.

Properties
E_tot	-2.6968	eV per atom
formation energy	0.0831	eV per atom
M_tot	0.0	μB/cell

POSCAR file:
```
SrAl2Tl2
1.0
-8.1524 -0.3767 2.6880
-2.6157 -1.1812 -8.0989
0.3100 -3.6380 0.4304
Al Sr Tl
4 2 4
Cartesian
-7.6109 -2.5412 -0.2949
-3.0500 -2.1339 -0.1381
-7.4081 -3.0619 -4.8424
-2.8472 -2.6547 -4.6856
-5.3841 -0.7789 -2.7055
0.0000 0.0000 0.0000
-5.5526 -0.4020 0.6021
-8.7012 -1.0776 -2.8404
-5.2156 -1.1559 -6.0130
-2.0670 -0.4803 -2.5705
```

=====

2.
Density functional theory data (PBE) for Sr2AlTl after structural relaxation.

Properties
E_tot	-2.3302	eV per atom
formation energy	0.0379	eV per atom
M_tot	0.0	μB/cell

POSCAR file:
```
Sr2AlTl
1.0
-3.1797 4.1242 -2.3356
-1.4452 -0.2877 -5.5139
-5.4091 -1.0598 -1.4808
Sr Al Tl
2 1 1
Cartesian
-2.5085 0.6942 -2.3326
0.0000 0.0000 0.0000
-5.0170 1.3884 -4.6652
-7.5255 2.0826 -6.9977
```

=====

3.
Density functional theory data (PBE) for SrAl3Tl after structural relaxation.

Properties
E_tot	-2.5324	eV per atom
formation energy	0.5228	eV per atom
M_tot	0.0	μB/cell

POSCAR file:
```
SrAl3Tl
1.0
5.3900 0.0000 0.0000
0.0000 5.3900 0.0000
0.0000 0.0000 5.3900
Sr Al Tl
1 3 1
Cartesian
2.6950 2.6950 2.6950
0.0000 0.0000 2.6950
0.0000 2.6950 0.0000
2.6950 0.0000 0.0000
0.0000 0.0000 0.0000
```